[1]
Computed, not measured: crystalline NaSiHg2Se4 at its relaxed geometry at the GGA-PBE level of DFT.

Summary:
DOS at the Fermi energy: 2.88 states/eV/cell
formation energy (no corrections): -0.408 eV/atom
total moment: 0.0000 μB/atom
SG: Fmm2 (42)

a = 6.5614 Å, b = 6.5607 Å, c = 7.2761 Å
α = 116.73°, β = 116.74°, γ = 90.12°
With the nearest neighbours (Å) after each atom.
Fractional positions:
Se 0.5938 0.5937 0.7721  1 Si 2.31
Na 0.0009 0.0009 0.0017  4 Se 3.00
Se 0.4063 0.8210 0.2273  1 Si 2.31
Si 0.4999 0.4999 0.9998  4 Se 2.31
Hg 0.2501 0.7501 0.5001  4 Se 2.81
Hg 0.7501 0.2501 0.5002  4 Se 2.81
Se 0.1783 0.1784 0.7721  1 Si 2.31
Se 0.8210 0.4063 0.2272  1 Si 2.31

=====

[2]
Computed, not measured: crystalline V2InGaRu at its relaxed geometry at the GGA-PBE level of DFT.

Summary:
DOS at the Fermi energy: 8.76 states/eV/cell
ΔH_f (0 K): 2068 meV/atom
total moment: 0.0001 μB/atom
SG: P4/mmm (123)

a = 4.8044 Å, b = 4.6204 Å, c = 4.8044 Å
α = 90.00°, β = 90.00°, γ = 90.00°
With the nearest neighbours (Å) after each atom.
Fractional positions:
Ru 0.5000 0.5000 0.5000  8 V 3.33, 4 Ga 3.40
In 0.0000 0.0000 0.0000  2 Ga 2.31, 4 V 2.40
V 0.5000 0.0000 0.0000  2 In 2.40
V 0.0000 0.0000 0.5000  2 In 2.40
Ga 0.0000 0.5000 0.0000  2 In 2.31

=====

[3]
Computed, not measured: crystalline Pa4Zn5Ni2 at its relaxed geometry at the GGA-PBE level of DFT.

Summary:
DOS at the Fermi energy: 14.63 states/eV/cell
ΔH_f (0 K): -130 meV/atom
total moment: 0.0000 μB/atom
SG: P2/m (10)

a = 3.1569 Å, b = 7.1034 Å, c = 9.3074 Å
α = 91.85°, β = 90.00°, γ = 90.00°
With the nearest neighbours (Å) after each atom.
Fractional positions:
Pa 0.5000 0.8752 0.1144  1 Pa 2.82, 2 Ni 2.82, 4 Zn 3.01-3.12
Pa 0.5000 0.7332 0.5425  4 Ni 2.81-2.86, 4 Zn 3.07-3.09
Pa 0.5000 0.2668 0.4575  4 Ni 2.81-2.86, 4 Zn 3.07-3.09
Zn 0.0000 0.2306 0.1726  2 Zn 2.54-2.62, 1 Ni 2.69
Ni 0.0000 0.9510 0.3610  1 Ni 2.66, 2 Zn 2.69-2.75, 6 Pa 2.81-2.86
Pa 0.5000 0.1248 0.8856  1 Pa 2.82, 2 Ni 2.82, 4 Zn 3.01-3.12
Zn 0.0000 0.5000 0.0000  4 Zn 2.54-2.67
Ni 0.0000 0.0490 0.6390  1 Ni 2.66, 2 Zn 2.69-2.75, 6 Pa 2.81-2.86
Zn 0.0000 0.5739 0.2835  2 Zn 2.62-2.67, 1 Ni 2.75
Zn 0.0000 0.7694 0.8274  2 Zn 2.54-2.62, 1 Ni 2.69
Zn 0.0000 0.4261 0.7165  2 Zn 2.62-2.67, 1 Ni 2.75

=====

[4]
Computed, not measured: crystalline SrLiNdZn at its relaxed geometry at the GGA-PBE level of DFT.

Summary:
DOS at the Fermi energy: 3.65 states/eV/cell
ΔH_f (0 K): -38 meV/atom
total moment: 0.0000 μB/atom
SG: F-43m (216)

a = 5.4512 Å, b = 5.4512 Å, c = 5.4512 Å
α = 60.00°, β = 60.00°, γ = 60.00°
With the nearest neighbours (Å) after each atom.
Fractional positions:
Li 0.7500 0.7500 0.7500  4 Nd 3.34, 4 Sr 3.34
Zn 0.2500 0.2500 0.2500  4 Sr 3.34, 4 Nd 3.34
Nd 0.5000 0.5000 0.5000  4 Zn 3.34, 4 Li 3.34
Sr 0.0000 0.0000 0.0000  4 Li 3.34, 4 Zn 3.34

=====

[5]
Computed, not measured: crystalline LaNdPu2Sb4 at its relaxed geometry at the GGA-PBE level of DFT.

Summary:
DOS at the Fermi energy: 33.52 states/eV/cell
formation energy (no corrections): -0.888 eV/atom
total moment: 0.0072 μB/atom
SG: P2/m (10)

a = 4.5098 Å, b = 7.7746 Å, c = 7.8096 Å
α = 70.51°, β = 90.00°, γ = 90.00°
With the nearest neighbours (Å) after each atom.
Fractional positions:
Pu 0.5000 0.0000 0.5000  6 Sb 3.15
Sb 0.0000 0.7596 0.7489  3 Pu 3.13-3.15, 2 Nd 3.22, 1 La 3.24
Sb 0.5000 0.2388 0.7565  3 Pu 3.13-3.15, 1 Nd 3.21, 2 La 3.24
La 0.0000 0.5000 0.5000  6 Sb 3.24
Sb 0.0000 0.2404 0.2511  3 Pu 3.13-3.15, 2 Nd 3.22, 1 La 3.24
Sb 0.5000 0.7612 0.2435  3 Pu 3.13-3.15, 1 Nd 3.21, 2 La 3.24
Nd 0.5000 0.5000 0.0000  6 Sb 3.21-3.22
Pu 0.0000 0.0000 0.0000  6 Sb 3.13

=====

[6]
Computed, not measured: crystalline SiMo2N at its relaxed geometry at the GGA-PBE level of DFT.

Summary:
DOS at the Fermi energy: 9.66 states/eV/cell
formation energy (no corrections): 0.330 eV/atom
total moment: 0.0001 μB/atom
SG: I-42d (122)

a = 5.0080 Å, b = 5.0080 Å, c = 6.2841 Å
α = 66.52°, β = 66.52°, γ = 90.00°
With the nearest neighbours (Å) after each atom.
Fractional positions:
Si 0.7500 0.2500 0.5000  4 Mo 2.46
N 0.2500 0.7500 0.5000  4 Mo 1.99
Mo 0.2086 0.6250 0.2500  2 N 1.99
Mo 0.5414 0.1250 0.2500  2 N 1.99
N 0.5000 0.5000 0.0000  4 Mo 1.99
Mo 0.3750 0.4586 0.7500  2 N 1.99
Mo 0.8750 0.7914 0.7500  2 N 1.99
Si 0.0000 0.0000 0.0000  4 Mo 2.46